(1)
Crystalline AcPuSbAu at its relaxed geometry. Source: the Alexandria database, functional PBE.

```
4
Lattice="-1.0013 -1.2602 -5.2477 3.8236 -2.5715 -2.9827 -0.7315 -5.2366 -1.4736" Properties=species:S:1:pos:R:3 pbc="T T T"
Pu 1.5681 -6.8012 -7.2780
Sb 1.0454 -4.5341 -4.8520
Ac 0.5227 -2.2671 -2.4260
Au 0.0000 0.0000 0.0000
```

Values from the calculation:
- Fermi-level density of states (states/eV/atom) = 2.974
- raw total energy (eV/atom) = -7.0918
- ΔE_f (raw) (eV per atom) = -0.632

=====

(2)
Crystalline AcPuAuSe at its relaxed geometry. Source: the Alexandria database, functional PBE.

```
4
Lattice="5.3452 0.0000 0.0000 2.6726 4.6290 0.0000 2.6726 1.5430 4.3643" Properties=species:S:1:pos:R:3 pbc="T T T"
Au 2.6726 1.5430 1.0911
Ac 5.3452 3.0860 2.1822
Pu 0.0000 0.0000 0.0000
Se 8.0177 4.6290 3.2732
```

Values from the calculation:
- Fermi-level density of states (states/eV/atom) = 2.336
- raw total energy (eV/atom) = -7.1531
- ΔE_f (raw) (eV per atom) = -0.853

=====

(3)
Crystalline AcPuSiAu at its relaxed geometry. Source: the Alexandria database, functional PBE.

```
4
Lattice="5.3117 0.0000 0.0000 2.6558 4.6001 0.0000 2.6558 1.5334 4.3370" Properties=species:S:1:pos:R:3 pbc="T T T"
Ac 5.3117 3.0667 2.1685
Pu 0.0000 0.0000 0.0000
Au 2.6558 1.5334 1.0842
Si 7.9675 4.6001 3.2527
```

Values from the calculation:
- Fermi-level density of states (states/eV/atom) = 2.898
- raw total energy (eV/atom) = -7.1903
- ΔE_f (raw) (eV per atom) = -0.405

=====

(4)
Crystalline Ac2PuSi3Au12 at its relaxed geometry. Source: the Alexandria database, functional PBE.

```
18
Lattice="8.2781 -0.3365 -0.2386 3.7956 7.3643 -0.2386 3.7956 2.2093 7.0292" Properties=species:S:1:pos:R:3 pbc="T T T"
Si 1.8978 3.6822 -0.1193
Au 11.8887 4.6007 5.7209
Au 9.8717 8.0657 5.7209
Au 5.9975 1.1715 0.8309
Au 3.9805 2.3170 4.1012
Pu 0.0000 0.0000 0.0000
Ac 6.3438 3.6926 2.6191
Ac 9.5254 5.5446 3.9327
Au 7.0411 6.9147 1.9205
Au 6.3793 6.5295 4.6313
Au 8.8281 2.3225 4.6313
Si 1.8978 1.1047 3.5146
Au 7.0411 4.0985 5.8910
Au 11.8887 6.9202 2.4507
Au 9.4899 2.7077 1.9205
Au 8.8281 5.1387 0.6609
Au 3.9805 4.6365 0.8309
Si 4.1390 -0.1682 -0.1193
```

Values from the calculation:
- Fermi-level density of states (states/eV/atom) = 1.246
- raw total energy (eV/atom) = -4.5142
- ΔE_f (raw) (eV per atom) = -0.173

=====

(5)
Crystalline AcPu2Sn2Au2 at its relaxed geometry. Source: the Alexandria database, functional PBE.

```
7
Lattice="4.8225 0.0000 0.0000 2.4113 4.1764 0.0000 2.4113 1.3921 9.2321" Properties=species:S:1:pos:R:3 pbc="T T T"
Pu 7.2338 4.1764 3.9763
Pu 2.4113 1.3921 5.2558
Sn 7.2338 4.1764 7.2199
Au 4.8225 2.7843 2.8485
Sn 2.4113 1.3921 2.0122
Au 4.8225 2.7843 6.3835
Ac 0.0000 0.0000 0.0000
```

Values from the calculation:
- Fermi-level density of states (states/eV/atom) = 2.254
- raw total energy (eV/atom) = -7.2684
- formation enthalpy at 0 K (eV/atom) = -0.51

=====

(6)
Crystalline AcPuTeAu at its relaxed geometry. Source: the Alexandria database, functional PBE.

```
4
Lattice="-4.0427 -3.4890 1.3053 -2.2785 -3.1460 -3.8899 0.9248 -5.4188 -0.0437" Properties=species:S:1:pos:R:3 pbc="T T T"
Au -1.3491 -3.0134 -0.6571
Ac -2.6982 -6.0268 -1.3142
Te -4.0473 -9.0403 -1.9713
Pu 0.0000 0.0000 0.0000
```

Values from the calculation:
- Fermi-level density of states (states/eV/atom) = 2.594
- raw total energy (eV/atom) = -6.9348
- ΔE_f (raw) (eV per atom) = -0.720

=====

(7)
Crystalline Ac2PuZn3Au12 at its relaxed geometry. Source: the Alexandria database, functional PBE.

```
18
Lattice="10.2897 1.8589 1.3185 6.6980 8.0293 1.3185 6.6980 3.8988 7.1420" Properties=species:S:1:pos:R:3 pbc="T T T"
Zn 3.3490 1.9494 3.5710
Au 12.3487 8.8499 4.5162
Pu 0.0000 0.0000 0.0000
Au 5.8912 5.2382 1.7986
Zn 5.1448 0.9295 0.6593
Au 12.3487 7.1880 6.8593
Au 5.8912 3.4291 4.3491
Au 9.8919 7.4199 5.2628
Zn 3.3490 4.0147 0.6593
Au 17.7946 10.3579 5.4299
Ac 15.1108 8.7957 6.2387
Au 11.3370 4.9372 5.2628
Au 17.7946 8.5488 7.9805
Au 7.4643 2.5357 1.7986
Au 16.2215 11.2513 7.9805
Au 13.7938 6.3672 4.5162
Ac 8.5749 4.9913 3.5403
Au 11.3370 6.5991 2.9197
```

Values from the calculation:
- Fermi-level density of states (states/eV/atom) = 1.031
- raw total energy (eV/atom) = -3.9332
- formation enthalpy at 0 K (eV/atom) = -0.28

=====

(8)
Crystalline RbAcAu10 at its relaxed geometry. Source: the Alexandria database, functional PBE.

```
12
Lattice="-0.6875 -3.1610 -3.1974 5.3932 1.1485 -2.2950 4.0410 -6.9609 6.0128" Properties=species:S:1:pos:R:3 pbc="T T T"
Au 6.6230 -5.8612 1.1354
Au 1.3470 -2.3202 2.0042
Au 4.0392 -6.4115 2.2349
Au 2.6941 -4.6406 4.0086
Au 2.3529 -1.0063 -2.7462
Au 4.7076 -2.5619 -1.7146
Au 2.1238 -3.1121 -0.6151
Au 3.3839 -0.6097 -0.1248
Ac 4.7171 -2.9062 1.8589
Rb 0.0000 0.0000 0.0000
Au 1.6768 -5.0610 1.4077
Au 6.0503 -5.2026 3.8426
```

Values from the calculation:
- Fermi-level density of states (states/eV/atom) = 0.470
- raw total energy (eV/atom) = -3.4870
- formation enthalpy at 0 K (eV/atom) = -0.33

=====

(9)
Crystalline Rb2AcAu at its relaxed geometry. Source: the Alexandria database, functional PBE.

```
4
Lattice="4.1404 0.0000 0.0000 2.0702 3.5857 0.0000 2.0702 1.1952 13.0625" Properties=species:S:1:pos:R:3 pbc="T T T"
Rb 6.2106 3.5857 4.1334
Rb 2.0702 1.1952 8.9291
Ac 0.0000 0.0000 0.0000
Au 4.1404 2.3904 6.5312
```

Values from the calculation:
- Fermi-level density of states (states/eV/atom) = 0.592
- raw total energy (eV/atom) = -2.1830
- formation enthalpy at 0 K (eV/atom) = 0.15

=====

(10)
Crystalline RbAcAuS2 at its relaxed geometry. Source: the Alexandria database, functional PBE.

```
10
Lattice="-4.4229 2.6065 -0.1333 -0.5930 -0.6121 7.7080 4.3958 7.4241 -0.6853" Properties=species:S:1:pos:R:3 pbc="T T T"
S 0.8010 8.4503 5.1149
S -0.7708 5.5923 1.3852
Ac -1.0638 3.1306 -0.2365
Rb -2.9941 3.7873 3.5682
Au 0.0000 0.0000 0.0000
Au 2.1979 3.7120 -0.3427
S 0.1507 3.8262 5.5042
Ac 1.0367 6.9000 -0.5821
Rb 2.3740 5.6312 3.3211
S -1.4211 0.9683 1.7745
```

Values from the calculation:
- Fermi-level density of states (states/eV/atom) = 0.465
- raw total energy (eV/atom) = -4.4672
- ΔE_f (raw) (eV per atom) = -1.146

=====

(11)
Crystalline RbAc2AuS4 at its relaxed geometry. Source: the Alexandria database, functional PBE.

```
16
Lattice="-4.1755 -0.7181 -0.9634 3.9230 -0.8872 -6.5439 1.7883 -14.4679 3.0336" Properties=species:S:1:pos:R:3 pbc="T T T"
S 2.9444 -11.9396 -3.8622
S 1.1572 -2.2329 -3.3513
Au 1.0207 -4.0065 -1.4375
Ac -0.8201 -7.0023 -1.0243
Au 0.5151 -12.0667 -3.0361
S 0.0000 0.0000 0.0000
Rb -0.2210 -4.9401 -5.1581
S 0.8941 -7.2339 1.5168
Ac 2.3558 -9.0709 -3.4493
S 1.6609 -6.3076 -2.4970
Ac 3.0221 -14.4614 -2.3191
S 0.3786 -13.8403 -1.1223
S -1.4087 -4.1336 -0.6114
S -0.1251 -9.7656 -1.9767
Ac -1.4863 -1.6119 -2.1545
Rb 1.7568 -11.1331 0.6844
```

Values from the calculation:
- Fermi-level density of states (states/eV/atom) = 0.000
- raw total energy (eV/atom) = -5.2332
- ΔE_f (raw) (eV per atom) = -1.612

=====

(12)
Crystalline RbAcSb2Au2 at its relaxed geometry. Source: the Alexandria database, functional PBE.

```
6
Lattice="4.7905 0.0000 0.0000 -2.3953 4.1487 0.0000 0.0000 0.0000 9.8179" Properties=species:S:1:pos:R:3 pbc="T T T"
Ac 0.0000 0.0000 0.0000
Sb 0.0000 2.7658 2.2001
Rb 0.0000 0.0000 4.9089
Au 2.3953 1.3829 2.0151
Sb 2.3953 1.3829 7.6177
Au 0.0000 2.7658 7.8028
```

Values from the calculation:
- Fermi-level density of states (states/eV/atom) = 0.138
- raw total energy (eV/atom) = -4.0689
- ΔE_f (raw) (eV per atom) = -0.756

=====

(13)
Crystalline RbAcSbAu at its relaxed geometry. Source: the Alexandria database, functional PBE.

```
4
Lattice="-4.9432 2.1164 -2.0055 -4.9182 -1.1071 2.7427 -2.6983 4.1841 2.8547" Properties=species:S:1:pos:R:3 pbc="T T T"
Rb 0.0000 0.0000 0.0000
Ac -6.2799 2.5967 1.7960
Au -9.4198 3.8950 2.6940
Sb -3.1399 1.2983 0.8980
```

Values from the calculation:
- raw total energy (eV/atom) = -3.7258
- ΔE_f (raw) (eV per atom) = -0.607

=====

(14)
Crystalline RbAcAuSe2 at its relaxed geometry. Source: the Alexandria database, functional PBE.

```
10
Lattice="-0.4806 -0.9430 4.9915 8.0442 1.1760 0.9967 -2.8244 8.2795 1.2923" Properties=species:S:1:pos:R:3 pbc="T T T"
Ac -2.3635 5.7286 3.5156
Ac -0.9415 1.6079 2.7681
Rb 2.9045 1.8504 5.0954
Se 3.0068 8.2575 5.3295
Au -1.4122 4.1398 0.6461
Se 4.5797 4.4331 3.0145
Se 0.1596 4.0794 4.2660
Au 0.0000 0.0000 0.0000
Rb 1.8348 6.6621 2.1851
Se 1.7325 0.2550 1.9510
```

Values from the calculation:
- Fermi-level density of states (states/eV/atom) = 0.383
- raw total energy (eV/atom) = -4.1844
- ΔE_f (raw) (eV per atom) = -1.120

=====

(15)
Crystalline Ac8Rh4Au3 at its relaxed geometry. Source: the Alexandria database, functional PBE.

```
15
Lattice="7.6802 -0.1529 -4.1998 -4.9451 7.3051 -0.2393 -0.1321 0.1623 8.8222" Properties=species:S:1:pos:R:3 pbc="T T T"
Rh 0.0000 0.0000 0.0000
Ac 2.4605 1.6070 -0.0401
Rh -0.0660 0.0812 4.4111
Ac 2.5477 1.8079 4.5377
Au 3.7741 0.0047 2.3112
Au 1.3675 3.5761 -2.2196
Au 1.3015 3.6573 2.1916
Ac 6.3701 1.6052 -2.1182
Rh -2.4726 3.6525 -0.1196
Ac -3.7958 5.5994 1.9246
Rh 3.8401 -0.0764 -2.0999
Ac -3.7671 5.7094 6.5013
Ac 0.0553 5.5066 -0.1546
Ac 0.1425 5.7075 4.4232
Ac -1.2814 1.8680 6.6584
```

Values from the calculation:
- Fermi-level density of states (states/eV/atom) = 0.546
- raw total energy (eV/atom) = -5.4978
- formation enthalpy at 0 K (eV/atom) = -0.69

=====

(16)
Crystalline AcRhAu at its relaxed geometry. Source: the Alexandria database, functional PBE.

```
3
Lattice="3.7960 0.0000 0.0000 0.0000 3.7960 0.0000 -1.8980 -1.8980 4.8931" Properties=species:S:1:pos:R:3 pbc="T T T"
Rh 0.0000 0.0000 2.8786
Ac 1.8980 1.8980 1.1900
Au 1.8980 1.8980 4.2496
```

Values from the calculation:
- Fermi-level density of states (states/eV/atom) = 0.882
- excess energy over the best structure of this formula in the dataset (meV/atom) = 270
- raw total energy (eV/atom) = -5.3170
- formation enthalpy at 0 K (eV/atom) = -0.40

=====

(17)
Crystalline Ac2Rh2Au3 at its relaxed geometry. Source: the Alexandria database, functional PBE.

```
7
Lattice="-2.5235 2.7620 -1.4767 1.2158 -0.9126 -3.7845 -7.8321 -6.4894 1.2464" Properties=species:S:1:pos:R:3 pbc="T T T"
Au -7.5042 -4.6207 -1.2964
Rh -5.4854 -2.6798 -1.1159
Ac -2.2759 -2.1882 -0.2035
Rh -3.6544 -1.9602 -2.8988
Au -1.6357 -0.0193 -2.7184
Ac -4.3404 -5.2138 -2.3346
Au 0.0000 0.0000 0.0000
```

Values from the calculation:
- Fermi-level density of states (states/eV/atom) = 0.495
- excess energy over the best structure of this formula in the dataset (meV/atom) = 56
- raw total energy (eV/atom) = -5.2154
- formation enthalpy at 0 K (eV/atom) = -0.54

=====

(18)
Crystalline Ac4RhAu at its relaxed geometry. Source: the Alexandria database, functional PBE.

```
12
Lattice="3.2300 5.9505 3.2264 2.6960 -4.5868 5.7729 8.9847 -0.1387 -0.0405" Properties=species:S:1:pos:R:3 pbc="T T T"
Au 3.2502 3.6006 4.0132
Ac 11.7798 -0.7453 7.6987
Rh 4.4923 -0.0694 -0.0202
Au 11.6603 -2.3756 4.9456
Ac 10.1782 1.0885 4.5624
Ac 7.4821 0.9423 7.5184
Ac 3.1308 1.9703 1.2601
Ac 6.3901 3.7060 4.8879
Ac 4.7324 0.1365 4.3964
Rh 7.4553 0.6125 4.4794
Ac 7.4284 0.2827 1.4404
Ac 8.5205 -2.4811 4.0709
```

Values from the calculation:
- Fermi-level density of states (states/eV/atom) = 1.025
- excess energy over the best structure of this formula in the dataset (meV/atom) = 49
- raw total energy (eV/atom) = -4.9541
- formation enthalpy at 0 K (eV/atom) = -0.44

=====

(19)
Crystalline AcRhAu at its relaxed geometry. Source: the Alexandria database, functional PBE.

```
3
Lattice="-2.0267 -2.6011 2.4675 3.8696 -0.7504 2.3872 -2.8511 3.4003 1.2427" Properties=species:S:1:pos:R:3 pbc="T T T"
Ac -1.9619 0.2828 3.2691
Rh 1.2909 0.1988 2.4177
Au -0.3373 -0.4329 0.4107
```

Values from the calculation:
- Fermi-level density of states (states/eV/atom) = 0.940
- excess energy over the best structure of this formula in the dataset (meV/atom) = 62
- raw total energy (eV/atom) = -5.5250
- formation enthalpy at 0 K (eV/atom) = -0.61

=====

(20)
Crystalline Ac2Rh5Au5 at its relaxed geometry. Source: the Alexandria database, functional PBE.

```
12
Lattice="4.4798 0.0000 0.0000 0.0000 5.5399 0.0000 0.0000 0.0000 9.7120" Properties=species:S:1:pos:R:3 pbc="T T T"
Ac 0.0000 2.7699 0.0000
Au 0.0000 0.0000 1.7173
Rh 2.2399 4.1606 2.4905
Au 0.0000 2.7699 6.4682
Rh 2.2399 1.3793 2.4905
Au 0.0000 0.0000 7.9947
Au 0.0000 2.7699 3.2438
Rh 2.2399 2.7699 4.8560
Rh 2.2399 1.3793 7.2216
Ac 0.0000 0.0000 4.8560
Rh 2.2399 4.1606 7.2216
Au 2.2399 0.0000 0.0000
```

Values from the calculation:
- Fermi-level density of states (states/eV/atom) = 0.827
- raw total energy (eV/atom) = -5.5241
- formation enthalpy at 0 K (eV/atom) = -0.41